1.
This record from the Alexandria database describes a relaxed structure of RbRe3B. The functional is PBE.

Structure (extended XYZ):
```
5
Lattice="4.358 0.000 0.000 0.000 4.358 0.000 0.000 0.000 4.358" Properties=species:S:1:pos:R:3 pbc="T T T"
Rb 0.000 0.000 0.000
Re 0.000 2.179 2.179
Re 2.179 0.000 2.179
Re 2.179 2.179 0.000
B 2.179 2.179 2.179
```

Output
E, eV per atom: -7.366
Excess energy over the best structure of this formula in the dataset, eV per formula unit: 0.00
Space-group type: Pm-3m, No. 221
Energy relative to the elements, eV per atom: 1.632


2.
This record from the Alexandria database describes a relaxed structure of RbRe2B. The functional is PBE.

Structure (extended XYZ):
```
16
Lattice="6.426 0.000 0.000 0.000 6.426 0.000 0.000 0.000 9.116" Properties=species:S:1:pos:R:3 pbc="T T T"
Rb 0.000 1.606 3.418
Rb 0.000 4.819 5.697
Rb 3.213 1.606 1.139
Rb 3.213 4.819 7.976
Re 0.000 0.000 0.000
Re 0.000 3.213 0.000
Re 1.606 1.606 6.837
Re 1.606 4.819 2.279
Re 3.213 0.000 4.558
Re 3.213 3.213 4.558
Re 4.819 1.606 6.837
Re 4.819 4.819 2.279
B 0.000 1.606 7.976
B 0.000 4.819 1.139
B 3.213 1.606 5.697
B 3.213 4.819 3.418
```

Output
E, eV per atom: -6.473
Space-group type: I4_1/amd, No. 141
Energy relative to the elements, eV per atom: 1.662


3.
This record from the Alexandria database describes a relaxed structure of RbReB2. The functional is PBE.

Structure (extended XYZ):
```
8
Lattice="0.000 4.625 4.625 4.625 0.000 4.625 4.625 4.625 0.000" Properties=species:S:1:pos:R:3 pbc="T T T"
Rb 1.156 1.156 1.156
Rb 8.094 8.094 8.094
Re 3.469 3.469 3.469
Re 5.781 5.781 5.781
B 4.625 2.313 2.313
B 2.313 4.625 2.313
B 2.313 2.313 4.625
B 4.625 4.625 4.625
```

Output
E, eV per atom: -6.089
Excess energy over the best structure of this formula in the dataset, eV per formula unit: 0.00
Space-group type: Fd-3m, No. 227
Energy relative to the elements, eV per atom: 0.604


4.
This record from the Alexandria database describes a relaxed structure of RbReB2. The functional is PBE.

Structure (extended XYZ):
```
16
Lattice="6.207 0.000 0.000 0.000 6.207 0.000 0.000 0.000 6.207" Properties=species:S:1:pos:R:3 pbc="T T T"
Rb 0.000 0.000 0.000
Rb 0.000 3.104 3.104
Rb 3.104 0.000 3.104
Rb 3.104 3.104 0.000
Re 0.000 0.000 3.104
Re 0.000 3.104 0.000
Re 3.104 0.000 0.000
Re 3.104 3.104 3.104
B 1.552 1.552 1.552
B 1.552 1.552 4.655
B 1.552 4.655 1.552
B 1.552 4.655 4.655
B 4.655 1.552 1.552
B 4.655 1.552 4.655
B 4.655 4.655 1.552
B 4.655 4.655 4.655
```

Output
E, eV per atom: -4.176
Excess energy over the best structure of this formula in the dataset, eV per formula unit: 7.65
Space-group type: Fm-3m, No. 225
Energy relative to the elements, eV per atom: 2.517